DFT (GGA-PBE) results for a geometry-optimized V5Cr4Re2 structure.

a = 10.8603 Å, b = 4.8802 Å, c = 7.2749 Å
α = 90.00°, β = 130.27°, γ = 90.00°
Closest atoms and distances in Å follow each position.
Space group C2/m (No. 12)
Symmetry-distinct sites (fractional):
V (0.0000, 0.0000, 0.0000) x2  4 Cr 2.30-2.41
V (0.0030, 0.2455, 0.6840) x8  4 V 2.40-2.64, 4 Cr 2.47-2.61
Cr (0.2362, 0.0000, 0.0621) x4  5 V 2.30-2.53, 1 Cr 2.48, 1 Re 2.49
Cr (0.2463, 0.0000, 0.4127) x4  5 V 2.41-2.61, 1 Cr 2.48, 1 Re 2.52
Re (0.1714, 0.5000, 0.1742) x4  2 Cr 2.49-2.52

total energy	-9.699	eV per atom
DFT formation energy	208.3	meV per atom